(1)
Density functional theory data (PBE-GGA) for K2NaHfH6 after structural relaxation. Values from VASP.

Results
Raw total energy (eV per cell): -70.23
Symmetry: Pmmn (59)

Cell and atoms, written as Quantum ESPRESSO input:
```
&SYSTEM
  ibrav = 0, nat = 20, ntyp = 4
/
ATOMIC_SPECIES
K 39.10 K.upf
Na 22.99 Na.upf
Hf 178.49 Hf.upf
H 1.01 H.upf
CELL_PARAMETERS angstrom
6.039 0.000 0.000
0.000 8.483 0.000
0.000 0.000 6.086
ATOMIC_POSITIONS angstrom
K 1.510 0.006 1.442
K 1.510 4.235 1.442
K 4.529 4.248 4.644
K 4.529 8.477 4.644
Na 1.510 6.362 4.594
Na 4.529 2.121 1.492
Hf 1.510 2.121 4.485
Hf 4.529 6.362 1.601
H 0.076 2.121 5.873
H 0.134 2.121 3.050
H 1.510 0.158 4.733
H 1.510 4.083 4.733
H 2.886 2.121 3.050
H 2.943 2.121 5.873
H 3.095 6.362 0.213
H 3.153 6.362 3.035
H 4.529 4.400 1.353
H 4.529 8.325 1.353
H 5.905 6.362 3.035
H 5.963 6.362 0.213
```

---

(2)
Density functional theory data (PBE-GGA) for K2HfH2O4 after structural relaxation. Values from VASP.

Results
Raw total energy (eV per cell): -56.75
Symmetry: C2/m (12)

Cell and atoms, written as Quantum ESPRESSO input:
```
&SYSTEM
  ibrav = 0, nat = 9, ntyp = 4
/
ATOMIC_SPECIES
K 39.10 K.upf
Hf 178.49 Hf.upf
H 1.01 H.upf
O 16.00 O.upf
CELL_PARAMETERS angstrom
6.148 -1.597 0.000
6.148 1.597 0.000
-2.092 0.000 5.967
ATOMIC_POSITIONS angstrom
K 1.535 0.000 0.443
K 8.669 0.000 5.523
Hf -1.046 0.000 2.983
H 1.601 0.000 3.427
H 8.604 0.000 2.540
O 0.847 0.000 4.043
O 4.470 0.000 4.206
O 5.735 0.000 1.760
O 9.357 0.000 1.923
```